Record 1
Compound: Dy2Ti2GaRh5
Source: Alexandria via LeMat-Bulk
Functional: PBE-GGA
Structure: relaxed

Properties
Electronic total energy = -7.116 eV per atom
Formation energy = -616 kJ/mol of formula units

a = 3.151 Å, b = 10.475 Å, c = 10.475 Å
α = 90.00°, β = 90.00°, γ = 90.00°
Positions (direct):
1 Dy 0.000 0.673 0.173
2 Dy 0.000 0.327 0.827
3 Dy 0.000 0.173 0.327
4 Dy 0.000 0.827 0.673
5 Ti 0.000 0.133 0.633
6 Ti 0.000 0.867 0.367
7 Ti 0.000 0.633 0.867
8 Ti 0.000 0.367 0.133
9 Ga 0.000 0.000 0.000
10 Ga 0.000 0.500 0.500
11 Rh 0.500 0.196 0.051
12 Rh 0.500 0.804 0.949
13 Rh 0.500 0.051 0.804
14 Rh 0.500 0.696 0.449
15 Rh 0.500 0.949 0.196
16 Rh 0.500 0.304 0.551
17 Rh 0.500 0.551 0.696
18 Rh 0.500 0.449 0.304
19 Rh 0.500 0.500 0.000
20 Rh 0.500 0.000 0.500

Record 2
Compound: Dy2TiGa2Rh5
Source: Alexandria via LeMat-Bulk
Functional: PBE-GGA
Structure: relaxed

Properties
Electronic total energy = -6.800 eV per atom
Formation energy = -781 kJ/mol of formula units

a = 3.470 Å, b = 9.895 Å, c = 9.895 Å
α = 90.00°, β = 90.00°, γ = 90.00°
Positions (direct):
1 Dy 0.000 0.672 0.172
2 Dy 0.000 0.328 0.828
3 Dy 0.000 0.172 0.328
4 Dy 0.000 0.828 0.672
5 Ti 0.000 0.000 0.000
6 Ti 0.000 0.500 0.500
7 Ga 0.000 0.127 0.627
8 Ga 0.000 0.873 0.373
9 Ga 0.000 0.627 0.873
10 Ga 0.000 0.373 0.127
11 Rh 0.500 0.200 0.065
12 Rh 0.500 0.800 0.935
13 Rh 0.500 0.065 0.800
14 Rh 0.500 0.700 0.435
15 Rh 0.500 0.935 0.200
16 Rh 0.500 0.300 0.565
17 Rh 0.500 0.565 0.700
18 Rh 0.500 0.435 0.300
19 Rh 0.500 0.500 0.000
20 Rh 0.500 0.000 0.500

Record 3
Compound: Dy2TlGa2Rh5
Source: Alexandria via LeMat-Bulk
Functional: PBE-GGA
Structure: relaxed

Properties
Electronic total energy = -6.141 eV per atom
Formation energy = -679 kJ/mol of formula units

a = 3.634 Å, b = 9.845 Å, c = 9.845 Å
α = 90.00°, β = 90.00°, γ = 90.00°
Positions (direct):
1 Dy 0.000 0.675 0.175
2 Dy 0.000 0.325 0.825
3 Dy 0.000 0.175 0.325
4 Dy 0.000 0.825 0.675
5 Tl 0.000 0.000 0.000
6 Tl 0.000 0.500 0.500
7 Ga 0.000 0.123 0.623
8 Ga 0.000 0.877 0.377
9 Ga 0.000 0.623 0.877
10 Ga 0.000 0.377 0.123
11 Rh 0.500 0.211 0.070
12 Rh 0.500 0.789 0.930
13 Rh 0.500 0.070 0.789
14 Rh 0.500 0.711 0.430
15 Rh 0.500 0.930 0.211
16 Rh 0.500 0.289 0.570
17 Rh 0.500 0.570 0.711
18 Rh 0.500 0.430 0.289
19 Rh 0.500 0.500 0.000
20 Rh 0.500 0.000 0.500

Record 4
Compound: DyYGaRh
Source: Alexandria via LeMat-Bulk
Functional: PBE-GGA
Structure: relaxed

Properties
Electronic total energy = -6.099 eV per atom
Formation energy = -285 kJ/mol of formula units
Energy relative to the lowest polymorph listed for this composition = 0 meV/atom

a = 3.898 Å, b = 4.365 Å, c = 5.673 Å
α = 90.00°, β = 110.09°, γ = 90.00°
Positions (direct):
1 Dy 0.141 0.000 0.281
2 Y 0.859 0.500 0.718
3 Ga 0.572 0.500 0.143
4 Rh 0.428 0.000 0.857

Record 5
Compound: DyYGaRh
Source: Alexandria via LeMat-Bulk
Functional: PBE-GGA
Structure: relaxed

Properties
Electronic total energy = -6.044 eV per atom
Formation energy = -264 kJ/mol of formula units
Energy relative to the lowest polymorph listed for this composition = 54 meV/atom

a = 4.969 Å, b = 4.969 Å, c = 4.969 Å
α = 60.00°, β = 60.00°, γ = 60.00°
Positions (direct):
1 Y 0.500 0.500 0.500
2 Rh 0.750 0.750 0.750
3 Ga 0.250 0.250 0.250
4 Dy 0.000 0.000 0.000

Record 6
Compound: Dy2ZnGa4Rh3
Source: Alexandria via LeMat-Bulk
Functional: PBE-GGA
Structure: relaxed

Properties
Electronic total energy = -5.155 eV per atom
Formation energy = -667 kJ/mol of formula units

a = 3.979 Å, b = 3.979 Å, c = 11.409 Å
α = 90.00°, β = 90.00°, γ = 90.00°
Positions (direct):
1 Dy 0.500 0.000 0.240
2 Dy 0.000 0.500 0.760
3 Zn 0.500 0.500 0.500
4 Ga 0.500 0.500 0.000
5 Ga 0.000 0.000 0.000
6 Ga 0.500 0.000 0.639
7 Ga 0.000 0.500 0.361
8 Rh 0.000 0.000 0.500
9 Rh 0.500 0.000 0.859
10 Rh 0.000 0.500 0.141

Record 7
Compound: DyZnGaRh
Source: Alexandria via LeMat-Bulk
Functional: PBE-GGA
Structure: relaxed

Properties
Electronic total energy = -4.598 eV per atom
Formation energy = -206 kJ/mol of formula units

a = 4.608 Å, b = 4.608 Å, c = 4.608 Å
α = 60.00°, β = 60.00°, γ = 60.00°
Positions (direct):
1 Zn 0.750 0.750 0.750
2 Rh 0.500 0.500 0.500
3 Ga 0.250 0.250 0.250
4 Dy 0.000 0.000 0.000

Record 8
Compound: DyZrGaRh
Source: Alexandria via LeMat-Bulk
Functional: PBE-GGA
Structure: relaxed

Properties
Electronic total energy = -6.445 eV per atom
Formation energy = -217 kJ/mol of formula units

a = 4.838 Å, b = 4.838 Å, c = 4.838 Å
α = 60.00°, β = 60.00°, γ = 60.00°
Positions (direct):
1 Rh 0.750 0.750 0.750
2 Ga 0.250 0.250 0.250
3 Zr 0.500 0.500 0.500
4 Dy 0.000 0.000 0.000

Record 9
Compound: Dy2ZrGa2Rh5
Source: Alexandria via LeMat-Bulk
Functional: PBE-GGA
Structure: relaxed

Properties
Electronic total energy = -6.913 eV per atom
Formation energy = -827 kJ/mol of formula units

a = 3.566 Å, b = 9.933 Å, c = 9.933 Å
α = 90.00°, β = 90.00°, γ = 90.00°
Positions (direct):
1 Dy 0.000 0.673 0.173
2 Dy 0.000 0.327 0.827
3 Dy 0.000 0.173 0.327
4 Dy 0.000 0.827 0.673
5 Zr 0.000 0.000 0.000
6 Zr 0.000 0.500 0.500
7 Ga 0.000 0.125 0.625
8 Ga 0.000 0.875 0.375
9 Ga 0.000 0.625 0.875
10 Ga 0.000 0.375 0.125
11 Rh 0.500 0.207 0.068
12 Rh 0.500 0.793 0.932
13 Rh 0.500 0.068 0.793
14 Rh 0.500 0.707 0.432
15 Rh 0.500 0.932 0.207
16 Rh 0.500 0.293 0.568
17 Rh 0.500 0.568 0.707
18 Rh 0.500 0.432 0.293
19 Rh 0.500 0.500 0.000
20 Rh 0.500 0.000 0.500

Record 10
Compound: Dy6Ga2Ru
Source: Alexandria via LeMat-Bulk
Functional: PBE-GGA
Structure: relaxed

Properties
Electronic total energy = -5.108 eV per atom
Formation energy = -292 kJ/mol of formula units

a = 5.972 Å, b = 8.611 Å, c = 9.212 Å
α = 90.00°, β = 82.51°, γ = 90.00°
Positions (direct):
1 Dy 0.892 0.967 0.231
2 Dy 0.900 0.678 0.536
3 Dy 0.902 0.676 0.945
4 Dy 0.598 0.176 0.555
5 Dy 0.600 0.178 0.964
6 Dy 0.608 0.467 0.269
7 Dy 0.108 0.033 0.769
8 Dy 0.100 0.322 0.464
9 Dy 0.098 0.324 0.055
10 Dy 0.402 0.824 0.445
11 Dy 0.400 0.822 0.036
12 Dy 0.392 0.533 0.731
13 Ga 0.885 0.388 0.770
14 Ga 0.615 0.888 0.730
15 Ga 0.385 0.112 0.270
16 Ga 0.115 0.612 0.230
17 Ru 0.500 0.500 0.000
18 Ru 0.000 0.000 0.500

Record 11
Compound: Dy4GaRu3
Source: Alexandria via LeMat-Bulk
Functional: PBE-GGA
Structure: relaxed

Properties
Electronic total energy = -6.573 eV per atom
Formation energy = -320 kJ/mol of formula units

a = 4.855 Å, b = 6.944 Å, c = 9.709 Å
α = 90.00°, β = 90.00°, γ = 90.00°
Positions (direct):
1 Ru 0.000 0.000 0.000
2 Ru 0.000 0.000 0.500
3 Ru 0.500 0.000 0.750
4 Ru 0.500 0.000 0.250
5 Ru 0.500 0.500 0.750
6 Ru 0.500 0.500 0.250
7 Ga 0.000 0.500 0.000
8 Ga 0.000 0.500 0.500
9 Dy 0.500 0.759 0.000
10 Dy 0.500 0.759 0.500
11 Dy 0.500 0.241 0.000
12 Dy 0.500 0.241 0.500
13 Dy 0.000 0.759 0.750
14 Dy 0.000 0.759 0.250
15 Dy 0.000 0.241 0.250
16 Dy 0.000 0.241 0.750

Record 12
Compound: Dy3Ga2Ru3
Source: Alexandria via LeMat-Bulk
Functional: PBE-GGA
Structure: relaxed

Properties
Electronic total energy = -6.407 eV per atom
Formation energy = -344 kJ/mol of formula units

a = 5.786 Å, b = 7.561 Å, c = 14.574 Å
α = 90.00°, β = 90.00°, γ = 90.00°
Positions (direct):
1 Dy 0.144 0.469 0.394
2 Dy 0.644 0.031 0.606
3 Dy 0.856 0.531 0.894
4 Dy 0.356 0.969 0.106
5 Dy 0.856 0.531 0.606
6 Dy 0.356 0.969 0.394
7 Dy 0.144 0.469 0.106
8 Dy 0.644 0.031 0.894
9 Dy 0.606 0.318 0.250
10 Dy 0.106 0.182 0.750
11 Dy 0.394 0.682 0.750
12 Dy 0.894 0.818 0.250
13 Ga 0.868 0.108 0.392
14 Ga 0.368 0.392 0.608
15 Ga 0.132 0.892 0.892
16 Ga 0.632 0.608 0.108
17 Ga 0.132 0.892 0.608
18 Ga 0.632 0.608 0.392
19 Ga 0.868 0.108 0.108
20 Ga 0.368 0.392 0.892
21 Ru 0.116 0.177 0.250
22 Ru 0.616 0.323 0.750
23 Ru 0.884 0.823 0.750
24 Ru 0.384 0.677 0.250
25 Ru 0.591 0.310 0.465
26 Ru 0.091 0.190 0.535
27 Ru 0.409 0.690 0.965
28 Ru 0.909 0.810 0.035
29 Ru 0.409 0.690 0.535
30 Ru 0.909 0.810 0.465
31 Ru 0.591 0.310 0.035
32 Ru 0.091 0.190 0.965

Number 1: DOS at the Fermi energy 10.94 states/eV/cell. Number 2: DOS at the Fermi energy 10.49 states/eV/cell. Number 3: DOS at the Fermi energy 12.47 states/eV/cell. Number 4: DOS at the Fermi energy 2.90 states/eV/cell. Number 5: DOS at the Fermi energy 2.31 states/eV/cell. Number 6: DOS at the Fermi energy 5.30 states/eV/cell. Number 7: DOS at the Fermi energy 3.59 states/eV/cell. Number 8: DOS at the Fermi energy 3.17 states/eV/cell. Number 9: DOS at the Fermi energy 10.60 states/eV/cell. Number 10: DOS at the Fermi energy 16.18 states/eV/cell. Number 11: DOS at the Fermi energy 9.09 states/eV/cell. Number 12: DOS at the Fermi energy 24.95 states/eV/cell.